Entry 1:
Here is LaCd2Sb2 after structural relaxation from the Alexandria database. Energies are from PBE-GGA.

Cell: 4.452 4.480 13.737 Å, 90.00 99.33 90.00°
Positions (direct):
La: 0.343 0.250 0.687
La: 0.657 0.750 0.313
Cd: 0.461 0.750 0.923
Cd: 0.958 0.250 0.915
Cd: 0.042 0.750 0.085
Cd: 0.539 0.250 0.077
Sb: 0.123 0.250 0.245
Sb: 0.250 0.750 0.500
Sb: 0.877 0.750 0.755
Sb: 0.750 0.250 0.500

Calculated values
Crystal system ... orthorhombic
Energy ... -3.536 eV/atom
Energy relative to the elements, uncorrected ... -0.535 eV per atom

Entry 2:
Here is La2CdSb after structural relaxation from the Alexandria database. Energies are from PBE-GGA.

Cell: 6.424 6.424 6.424 Å, 137.32 137.32 61.95°
Positions (direct):
La: 0.250 0.750 0.500
La: 0.000 0.000 0.000
Sb: 0.500 0.500 0.000
Cd: 0.750 0.250 0.500

Calculated values
Crystal system ... tetragonal
Energy ... -4.357 eV/atom
Energy relative to the elements, uncorrected ... -0.634 eV per atom

> What is the energy relative to the elements, uncorrected in the second record?

-0.634 eV per atom

> The lowest energy belongs to which entry?

La2CdSb

Please write out number 1 again, unchanged.
Here is LaCd2Sb2 after structural relaxation from the Alexandria database. Energies are from PBE-GGA.

Cell: 4.452 4.480 13.737 Å, 90.00 99.33 90.00°
Positions (direct):
La: 0.343 0.250 0.687
La: 0.657 0.750 0.313
Cd: 0.461 0.750 0.923
Cd: 0.958 0.250 0.915
Cd: 0.042 0.750 0.085
Cd: 0.539 0.250 0.077
Sb: 0.123 0.250 0.245
Sb: 0.250 0.750 0.500
Sb: 0.877 0.750 0.755
Sb: 0.750 0.250 0.500

Calculated values
Crystal system ... orthorhombic
Energy ... -3.536 eV/atom
Energy relative to the elements, uncorrected ... -0.535 eV per atom

> What is the formula in the second record?

La2CdSb